NdTm8Mg6: optimized geometry, PBE.

a = 8.253 Å, b = 8.253 Å, c = 8.253 Å
α = 66.53°, β = 66.53°, γ = 66.53°
Atoms (fractional coordinates):
1 Nd 0.000 0.000 0.000
2 Tm 0.119 0.783 0.450
3 Tm 0.217 0.550 0.881
4 Tm 0.344 0.344 0.344
5 Tm 0.450 0.119 0.783
6 Tm 0.550 0.881 0.217
7 Tm 0.656 0.656 0.656
8 Tm 0.783 0.450 0.119
9 Tm 0.881 0.217 0.550
10 Mg 0.043 0.388 0.714
11 Mg 0.286 0.957 0.612
12 Mg 0.388 0.714 0.043
13 Mg 0.612 0.286 0.957
14 Mg 0.714 0.043 0.388
15 Mg 0.957 0.612 0.286

Computed properties:
M_tot, μB per atom: 0.000
E_tot, eV per atom: -3.123
ΔH_f (0 K), eV per formula unit: 3.27